1.
KP2PtCl (PBE, relaxed); total moment = 0.000 Bohr magnetons per cell; offset from the most stable computed form = 0.0 meV per atom; space-group type = No. 123
1.0
-0.210 3.846 2.290
-4.060 0.803 -1.720
-3.631 -4.150 6.635
P Cl K Pt
2 1 1 1
Direct
0.000 0.500 0.000
0.500 0.000 0.000
0.000 0.000 0.500
0.500 0.500 0.500
0.000 0.000 0.000

2.
KRbPCl2 (PBE, relaxed); total moment = 3.000 Bohr magnetons per cell; offset from the most stable computed form = 294.1 meV per atom; space-group type = No. 123
1.0
6.073 0.000 0.000
0.000 6.621 0.000
0.000 0.000 6.073
Cl Rb K P
2 1 1 1
Direct
0.500 0.000 0.000
0.000 0.000 0.500
0.000 0.000 0.000
0.000 0.500 0.000
0.500 0.500 0.500

3.
KRbPCl2 (PBE, relaxed); total moment = 3.047 Bohr magnetons per cell; offset from the most stable computed form = 0.0 meV per atom; space-group type = No. 123
1.0
-4.297 -0.733 -4.089
3.287 -4.198 -2.701
-2.558 -4.220 3.446
K Cl P Rb
1 2 1 1
Direct
0.000 0.000 0.000
0.000 0.500 0.000
0.500 0.000 0.000
0.000 0.000 0.500
0.500 0.500 0.500

4.
KRbPCl2 (PBE, relaxed); total moment = 3.062 Bohr magnetons per cell; offset from the most stable computed form = 103.0 meV per atom; space-group type = No. 123
1.0
-2.159 5.566 1.787
-4.576 -0.423 -4.209
-3.648 -2.777 4.245
Rb Cl P K
1 2 1 1
Direct
0.000 0.000 0.000
0.500 0.000 0.000
0.000 0.500 0.000
0.000 0.000 0.500
0.500 0.500 0.500

5.
KReP2Cl (PBE, relaxed); total moment = 0.000 Bohr magnetons per cell; offset from the most stable computed form = 0.0 meV per atom; space-group type = No. 123
1.0
4.571 0.000 0.000
0.000 5.623 0.000
0.000 0.000 4.571
P Re K Cl
2 1 1 1
Direct
0.000 0.000 0.500
0.500 0.000 0.000
0.000 0.000 0.000
0.500 0.500 0.500
0.000 0.500 0.000

6.
KReP2Cl (PBE, relaxed); total moment = 0.001 Bohr magnetons per cell; offset from the most stable computed form = 2796.0 meV per atom; space-group type = No. 123
1.0
5.034 0.000 0.000
0.000 5.034 0.000
0.000 0.000 4.970
P K Re Cl
2 1 1 1
Direct
0.500 0.000 0.000
0.000 0.500 0.000
0.000 0.000 0.000
0.500 0.500 0.500
0.000 0.000 0.500

7.
KP2RhCl (PBE, relaxed); total moment = 0.419 Bohr magnetons per cell; offset from the most stable computed form = 0.0 meV per atom; space-group type = No. 123
1.0
-3.705 -2.301 -0.708
0.725 0.174 -4.356
4.289 -7.039 0.433
Cl P K Rh
1 2 1 1
Direct
0.000 0.000 0.500
0.000 0.500 0.000
0.500 0.000 0.000
0.500 0.500 0.500
0.000 0.000 0.000

8.
KP2RhCl (PBE, relaxed); total moment = 2.091 Bohr magnetons per cell; offset from the most stable computed form = 2158.3 meV per atom; space-group type = No. 123
1.0
-0.881 -5.244 0.279
5.236 -0.856 0.457
-0.401 0.346 5.238
Cl Rh P K
1 1 2 1
Direct
0.000 0.000 0.500
0.500 0.500 0.500
0.000 0.500 0.000
0.500 0.000 0.000
0.000 0.000 0.000

9.
KPRuCl2 (PBE, relaxed); total moment = 0.000 Bohr magnetons per cell; offset from the most stable computed form = 0.0 meV per atom; space-group type = No. 123
1.0
-2.491 3.983 -2.165
-4.531 -2.272 1.033
-0.133 2.055 3.934
Cl K Ru P
2 1 1 1
Direct
0.500 0.000 0.000
0.000 0.500 0.000
0.500 0.500 0.500
0.000 0.000 0.000
0.000 0.000 0.500

10.
KP2RuCl (PBE, relaxed); total moment = 0.000 Bohr magnetons per cell; offset from the most stable computed form = 0.0 meV per atom; space-group type = No. 123
1.0
-2.229 -1.177 -3.683
0.270 -4.288 1.207
-5.572 0.549 3.198
Cl P K Ru
1 2 1 1
Direct
0.000 0.000 0.500
0.000 0.500 0.000
0.500 0.000 0.000
0.500 0.500 0.500
0.000 0.000 0.000

11.
KP2RuCl (PBE, relaxed); total moment = 2.378 Bohr magnetons per cell; offset from the most stable computed form = 2234.4 meV per atom; space-group type = No. 123
1.0
5.302 0.000 0.000
0.000 5.302 0.000
0.000 0.000 5.255
K P Ru Cl
1 2 1 1
Direct
0.000 0.000 0.000
0.000 0.500 0.000
0.500 0.000 0.000
0.500 0.500 0.500
0.000 0.000 0.500

12.
KPRuCl2 (PBE, relaxed); total moment = 6.013 Bohr magnetons per cell; offset from the most stable computed form = 1625.1 meV per atom; space-group type = No. 123
1.0
-3.309 -0.872 -4.474
-1.899 -4.763 2.332
-4.286 2.976 2.589
Cl Ru K P
2 1 1 1
Direct
0.000 0.500 0.000
0.500 0.000 0.000
0.500 0.500 0.500
0.000 0.000 0.000
0.000 0.000 0.500